AsPd: optimized geometry, PBE.

Cell: 4.3761 4.2760 4.4668 Å, 90.00 117.88 90.00°
Space group C2 (No. 5)
Asymmetric unit:
As 0.0000 0.0000 0.0000 x2
Pd 0.0000 0.2644 0.5000 x2

Computed properties:
**VASP energy**: -5.117 eV per atom
**DOS(E_F)**: 1.18 states/eV per cell